Record 1
# Cu2BiWCl

A relaxed structure of Cu2BiWCl (PBE, Alexandria via LeMat-Bulk).

Lattice parameters (Å, degrees): 4.8237 4.8237 5.4064 90.00 90.00 90.00
Last column: nearest neighbours and their distance in Å.
Space group P4/mmm (No. 123)
Symmetry-distinct sites (fractional):
Cu: 0.0000 0.5000 0.0000 (multiplicity 2)  2 W 2.41
Bi: 0.0000 0.0000 0.5000 (multiplicity 1)  2 W 2.70
W: 0.0000 0.0000 0.0000 (multiplicity 1)  4 Cu 2.41
Cl: 0.5000 0.5000 0.5000 (multiplicity 1)  4 Bi 3.41, 8 Cu 3.62

=====

Record 2
# DyBiCl6

A relaxed structure of DyBiCl6 (PBE, Alexandria via LeMat-Bulk).

Lattice parameters (Å, degrees): 6.7068 12.8180 6.7078 90.00 106.28 90.00
Last column: nearest neighbours and their distance in Å.
Space group C2/m (No. 12)
Symmetry-distinct sites (fractional):
Dy: 0.0000 0.0000 0.0000 (multiplicity 2)  6 Cl 2.64-2.67
Bi: 0.0000 0.5000 0.5000 (multiplicity 2)  6 Cl 2.72-2.74
Cl: 0.2439 0.1409 0.2442 (multiplicity 8)  1 Dy 2.67, 1 Bi 2.74
Cl: 0.2470 0.0000 0.7547 (multiplicity 4)  1 Dy 2.64, 1 Bi 2.72

Properties
excess energy over the best structure of this formula in the dataset = 0 meV/atom

=====

Record 3
# DyBiCl6

A relaxed structure of DyBiCl6 (PBE, Alexandria via LeMat-Bulk).

Lattice parameters (Å, degrees): 6.7644 6.7644 18.4749 90.00 90.00 120.00
Last column: nearest neighbours and their distance in Å.
Space group R-3 (No. 148, hexagonal axes)
Symmetry-distinct sites (fractional):
Dy: 0.0000 0.0000 0.0000 (multiplicity 3)  6 Cl 2.66
Bi: 0.0000 0.0000 0.5000 (multiplicity 3)  6 Cl 2.74
Cl: 0.0074 0.3268 0.0821 (multiplicity 18)  1 Dy 2.66, 1 Bi 2.74

Properties
excess energy over the best structure of this formula in the dataset = 4 meV/atom

=====

Record 4
# ErBiCl6

A relaxed structure of ErBiCl6 (PBE, Alexandria via LeMat-Bulk).

Lattice parameters (Å, degrees): 6.7385 6.7385 18.3731 90.00 90.00 120.00
Last column: nearest neighbours and their distance in Å.
Space group R-3 (No. 148, hexagonal axes)
Symmetry-distinct sites (fractional):
Er: 0.0000 0.0000 0.0000 (multiplicity 3)  6 Cl 2.64
Bi: 0.0000 0.0000 0.5000 (multiplicity 3)  6 Cl 2.74
Cl: 0.0066 0.3247 0.0817 (multiplicity 18)  1 Er 2.64, 1 Bi 2.74

Properties
excess energy over the best structure of this formula in the dataset = 5 meV/atom

=====

Record 5
# ErBiCl6

A relaxed structure of ErBiCl6 (PBE, Alexandria via LeMat-Bulk).

Lattice parameters (Å, degrees): 6.6737 12.8104 6.6737 90.00 106.32 90.00
Last column: nearest neighbours and their distance in Å.
Space group C2/m (No. 12)
Symmetry-distinct sites (fractional):
Er: 0.0000 0.0000 0.0000 (multiplicity 2)  6 Cl 2.62-2.64
Bi: 0.0000 0.5000 0.5000 (multiplicity 2)  6 Cl 2.72-2.74
Cl: 0.2419 0.1404 0.2420 (multiplicity 8)  1 Er 2.64, 1 Bi 2.74
Cl: 0.2452 0.0000 0.7551 (multiplicity 4)  1 Er 2.62, 1 Bi 2.72

Properties
excess energy over the best structure of this formula in the dataset = 0 meV/atom

=====

Record 6
# ErBi2ClO4

A relaxed structure of ErBi2ClO4 (PBE, Alexandria via LeMat-Bulk).

Lattice parameters (Å, degrees): 3.8801 3.8801 9.0536 90.00 90.00 90.00
Last column: nearest neighbours and their distance in Å.
Space group P4/mmm (No. 123)
Symmetry-distinct sites (fractional):
Er: 0.0000 0.0000 0.0000 (multiplicity 1)  8 O 2.37
Bi: 0.5000 0.5000 0.2764 (multiplicity 2)  4 O 2.25
Cl: 0.0000 0.0000 0.5000 (multiplicity 1)  8 Bi 3.41, 8 O 3.71
O: 0.0000 0.5000 0.1509 (multiplicity 4)  2 Bi 2.25, 2 Er 2.37

=====

Record 7
# Eu2BiCl

A relaxed structure of Eu2BiCl (PBE, Alexandria via LeMat-Bulk).

Lattice parameters (Å, degrees): 5.6612 5.6612 3.8566 90.00 90.00 90.00
Last column: nearest neighbours and their distance in Å.
Space group P4/mmm (No. 123)
Symmetry-distinct sites (fractional):
Eu: 0.0000 0.5000 0.0000 (multiplicity 2)  4 Cl 3.42, 4 Bi 3.42
Bi: 0.0000 0.0000 0.5000 (multiplicity 1)  8 Eu 3.42
Cl: 0.5000 0.5000 0.5000 (multiplicity 1)  8 Eu 3.42

Properties
excess energy over the best structure of this formula in the dataset = 137 meV/atom

=====

Record 8
# Eu2BiCl

A relaxed structure of Eu2BiCl (PBE, Alexandria via LeMat-Bulk).

Lattice parameters (Å, degrees): 7.9174 7.9174 7.9174 90.00 90.00 90.00
Last column: nearest neighbours and their distance in Å.
Space group Fm-3m (No. 225)
Symmetry-distinct sites (fractional):
Eu: 0.2500 0.2500 0.2500 (multiplicity 8)  4 Cl 3.43, 4 Bi 3.43
Bi: 0.0000 0.0000 0.0000 (multiplicity 4)  8 Eu 3.43
Cl: 0.0000 0.0000 0.5000 (multiplicity 4)  8 Eu 3.43

Properties
excess energy over the best structure of this formula in the dataset = 79 meV/atom

=====

Record 9
# Eu12Bi3Cl5

A relaxed structure of Eu12Bi3Cl5 (PBE, Alexandria via LeMat-Bulk).

Lattice parameters (Å, degrees): 18.0316 18.0316 18.0316 90.00 90.00 90.00
Last column: nearest neighbours and their distance in Å.
Space group Ia-3d (No. 230)
Symmetry-distinct sites (fractional):
Eu: 0.0300 0.0656 0.6487 (multiplicity 96)  2 Cl 2.77-2.98
Bi: 0.0000 0.2500 0.1250 (multiplicity 24)  8 Eu 3.40-3.54
Cl: 0.0000 0.0000 0.0000 (multiplicity 16)  6 Eu 2.98
Cl: 0.0000 0.2500 0.3750 (multiplicity 24)  4 Eu 2.77

=====

Record 10
# Eu2BiCl

A relaxed structure of Eu2BiCl (PBE, Alexandria via LeMat-Bulk).

Lattice parameters (Å, degrees): 4.6919 4.6919 20.8950 90.00 90.00 120.00
Last column: nearest neighbours and their distance in Å.
Space group R-3m (No. 166, hexagonal axes)
Symmetry-distinct sites (fractional):
Eu: 0.0000 0.0000 0.2484 (multiplicity 6)  3 Cl 3.20, 3 Bi 3.24
Bi: 0.0000 0.0000 0.0000 (multiplicity 3)  6 Eu 3.24
Cl: 0.0000 0.0000 0.5000 (multiplicity 3)  6 Eu 3.20

Properties
excess energy over the best structure of this formula in the dataset = 0 meV/atom

=====

Record 11
# PrEuBiCl

A relaxed structure of PrEuBiCl (PBE, Alexandria via LeMat-Bulk).

Lattice parameters (Å, degrees): 7.7949 7.7949 7.7949 90.00 90.00 90.00
Last column: nearest neighbours and their distance in Å.
Space group F-43m (No. 216)
Symmetry-distinct sites (fractional):
Pr: 0.0000 0.0000 0.0000 (multiplicity 4)  4 Cl 3.38, 4 Bi 3.38
Eu: 0.0000 0.0000 0.5000 (multiplicity 4)  4 Bi 3.38, 4 Cl 3.38
Bi: 0.2500 0.2500 0.2500 (multiplicity 4)  4 Pr 3.38, 4 Eu 3.38
Cl: 0.2500 0.2500 0.7500 (multiplicity 4)  4 Pr 3.38, 4 Eu 3.38

=====

Record 12
# EuPuBiCl

A relaxed structure of EuPuBiCl (PBE, Alexandria via LeMat-Bulk).

Lattice parameters (Å, degrees): 7.8032 7.8032 7.8032 90.00 90.00 90.00
Last column: nearest neighbours and their distance in Å.
Space group F-43m (No. 216)
Symmetry-distinct sites (fractional):
Eu: 0.0000 0.0000 0.0000 (multiplicity 4)  4 Cl 3.38, 4 Bi 3.38
Pu: 0.0000 0.0000 0.5000 (multiplicity 4)  4 Cl 3.38, 4 Bi 3.38
Bi: 0.2500 0.2500 0.2500 (multiplicity 4)  4 Pu 3.38, 4 Eu 3.38
Cl: 0.2500 0.2500 0.7500 (multiplicity 4)  4 Pu 3.38, 4 Eu 3.38

=====

Record 13
# BiCl2F4

A relaxed structure of BiCl2F4 (PBE, Alexandria via LeMat-Bulk).

Lattice parameters (Å, degrees): 3.8362 3.9460 9.5428 91.22 92.83 90.01
Last column: nearest neighbours and their distance in Å.
Space group P-1 (No. 2)
Symmetry-distinct sites (fractional):
Bi: 0.0000 0.0000 0.0000 (multiplicity 1)  8 F 2.29-2.33
Cl: 0.0019 0.4967 0.6043 (multiplicity 2)  1 Cl 1.99
F: 0.0138 0.5072 0.1307 (multiplicity 2)  2 Bi 2.33, 1 F 2.49, 1 Cl 2.53
F: 0.4847 0.9921 0.8675 (multiplicity 2)  2 Bi 2.29-2.30, 1 F 2.52

=====

Record 14
# BiClF3

A relaxed structure of BiClF3 (PBE, Alexandria via LeMat-Bulk).

Lattice parameters (Å, degrees): 6.9207 5.0791 5.0995 90.00 90.00 90.00
Last column: nearest neighbours and their distance in Å.
Space group Pmn2_1 (No. 31)
Symmetry-distinct sites (fractional):
Bi: 0.0000 0.0535 0.0000 (multiplicity 2)  5 F 2.11-2.31
Cl: 0.0000 0.6065 0.7252 (multiplicity 2)  1 F 2.56, 1 Bi 2.67
F: 0.0000 0.3392 0.3005 (multiplicity 2)  1 Bi 2.11
F: 0.2279 0.8726 0.2475 (multiplicity 4)  2 Bi 2.22-2.31

Properties
excess energy over the best structure of this formula in the dataset = 260 meV/atom

=====

Record 15
# BiCl6F2

A relaxed structure of BiCl6F2 (PBE, Alexandria via LeMat-Bulk).

Lattice parameters (Å, degrees): 12.1133 13.0644 3.7321 90.00 92.14 90.00
Last column: nearest neighbours and their distance in Å.
Space group C2/m (No. 12)
Symmetry-distinct sites (fractional):
Bi: 0.0000 0.0000 0.0000 (multiplicity 2)  4 F 2.30, 2 Cl 2.57
Cl: 0.0821 0.3462 0.9983 (multiplicity 8)  1 Cl 1.99
Cl: 0.2121 0.0000 0.0241 (multiplicity 4)  1 Bi 2.57
F: 0.0000 0.1033 0.5000 (multiplicity 4)  2 Bi 2.30

=====

Record 16
# BiClF3

A relaxed structure of BiClF3 (PBE, Alexandria via LeMat-Bulk).

Lattice parameters (Å, degrees): 8.3121 7.3892 9.0558 90.00 118.42 90.00
Last column: nearest neighbours and their distance in Å.
Space group P2_1/c (No. 14)
Symmetry-distinct sites (fractional):
Bi: 0.0542 0.2496 0.0111 (multiplicity 4)  4 F 2.17-2.29
Cl: 0.4991 0.6344 0.4927 (multiplicity 4)  1 Cl 1.99
F: 0.0304 0.2422 0.2482 (multiplicity 4)  2 Bi 2.25-2.29
F: 0.1704 0.5576 0.5964 (multiplicity 4)  1 Bi 2.17
F: 0.1717 0.5590 0.0780 (multiplicity 4)  1 Bi 2.18

Properties
excess energy over the best structure of this formula in the dataset = 0 meV/atom

=====

Record 17
# BiClF8

A relaxed structure of BiClF8 (PBE, Alexandria via LeMat-Bulk).

Lattice parameters (Å, degrees): 5.4682 5.9075 10.7582 89.97 86.95 86.09
Last column: nearest neighbours and their distance in Å.
Space group P-1 (No. 2)
Symmetry-distinct sites (fractional):
Bi: 0.0000 0.0000 0.0000 (multiplicity 1)  6 F 2.02-2.12
Bi: 0.0000 0.0000 0.5000 (multiplicity 1)  6 F 2.02-2.12
Cl: 0.3978 0.6254 0.2540 (multiplicity 2)  2 F 1.63
F: 0.1112 0.7908 0.1500 (multiplicity 2)  1 Bi 2.12, 1 Cl 2.15
F: 0.1276 0.2751 0.0805 (multiplicity 2)  1 Bi 2.02
F: 0.1602 0.1814 0.3622 (multiplicity 2)  1 Bi 2.02
F: 0.1721 0.6948 0.4239 (multiplicity 2)  1 Bi 2.12, 1 Cl 2.17
F: 0.2890 0.0352 0.6072 (multiplicity 2)  1 Bi 2.03
F: 0.3259 0.9349 0.9040 (multiplicity 2)  1 Bi 2.03
F: 0.4045 0.5051 0.6584 (multiplicity 2)  1 Cl 1.63
F: 0.4411 0.4285 0.8753 (multiplicity 2)  1 Cl 1.63

=====

Record 18
# BiClF3

A relaxed structure of BiClF3 (PBE, Alexandria via LeMat-Bulk).

Lattice parameters (Å, degrees): 4.5743 4.5743 4.5743 90.00 90.00 90.00
Last column: nearest neighbours and their distance in Å.
Space group Pm-3m (No. 221)
Symmetry-distinct sites (fractional):
Bi: 0.0000 0.0000 0.0000 (multiplicity 1)  6 F 2.29
Cl: 0.5000 0.5000 0.5000 (multiplicity 1)  12 F 3.23
F: 0.0000 0.0000 0.5000 (multiplicity 3)  2 Bi 2.29

Properties
excess energy over the best structure of this formula in the dataset = 257 meV/atom

=====

Record 19
# BiClF3

A relaxed structure of BiClF3 (PBE, Alexandria via LeMat-Bulk).

Lattice parameters (Å, degrees): 4.4575 4.4575 4.4575 90.00 90.00 90.00
Last column: nearest neighbours and their distance in Å.
Space group Pm-3m (No. 221)
Symmetry-distinct sites (fractional):
Bi: 0.0000 0.0000 0.0000 (multiplicity 1)  12 F 3.15
Cl: 0.5000 0.5000 0.5000 (multiplicity 1)  6 F 2.23
F: 0.0000 0.5000 0.5000 (multiplicity 3)  2 Cl 2.23

Properties
excess energy over the best structure of this formula in the dataset = 1585 meV/atom

=====

Record 20
# Bi2ClF2

A relaxed structure of Bi2ClF2 (PBE, Alexandria via LeMat-Bulk).

Lattice parameters (Å, degrees): 7.4959 7.4959 9.1586 90.00 90.00 90.00
Last column: nearest neighbours and their distance in Å.
Space group I4_1md (No. 109)
Symmetry-distinct sites (fractional):
Bi: 0.0000 0.2630 0.0000 (multiplicity 8)  2 F 2.34
Cl: 0.0000 0.0000 0.2062 (multiplicity 4)  2 Bi 2.73
F: 0.0000 0.1757 0.6657 (multiplicity 8)  2 Bi 2.34

=====

Q: Which formation energy from raw total energies values were calculated for the entries above? A: 1.1456 -1.6055 -1.6012 -1.5989 -1.6041 -2.0517 -1.2114 -1.2694 -1.0328 -1.3481 -1.1468 -0.8754 -1.4376 -1.6362 -0.7194 -1.8967 -1.3472 -1.6393 -0.3117 -1.1742, in eV/atom.